[1]
Li2PmCd2Hg2 | PBE | optimized geometry

Values from the calculation:
space group: R-3m (166)
ρ: 8.5 g/cm3
energy of formation: -275 meV/atom

The structure in CIF format:
```
data_Li2PmCd2Hg2
_chemical_formula_sum 'Li2 Pm1 Cd2 Hg2'
_space_group_name_H-M_alt 'P 1'
_space_group_IT_number 1
_space_group_name_Hall 'P 1'
_cell_length_a 7.880
_cell_length_b 7.880
_cell_length_c 7.880
_cell_angle_alpha 36.40
_cell_angle_beta 36.40
_cell_angle_gamma 36.40
loop_
_atom_site_label
_atom_site_fract_x
_atom_site_fract_y
_atom_site_fract_z
Li1 0.145 0.145 0.145
Li2 0.855 0.855 0.855
Pm1 0.000 0.000 0.000
Cd1 0.268 0.268 0.268
Cd2 0.732 0.732 0.732
Hg1 0.426 0.426 0.426
Hg2 0.574 0.574 0.574
```

---

[2]
Li2PmCdHg2 | PBE | optimized geometry

Values from the calculation:
space group: P-3m1 (164)
ρ: 8.5 g/cm3
energy of formation: -373 meV/atom

The structure in CIF format:
```
data_Li2PmCdHg2
_chemical_formula_sum 'Li2 Pm1 Cd1 Hg2'
_space_group_name_H-M_alt 'P 1'
_space_group_IT_number 1
_space_group_name_Hall 'P 1'
_cell_length_a 4.756
_cell_length_b 4.756
_cell_length_c 6.742
_cell_angle_alpha 90.00
_cell_angle_beta 90.00
_cell_angle_gamma 120.00
loop_
_atom_site_label
_atom_site_fract_x
_atom_site_fract_y
_atom_site_fract_z
Li1 0.333 0.667 0.159
Li2 0.667 0.333 0.841
Pm1 0.000 0.000 0.500
Cd1 0.000 0.000 0.000
Hg1 0.333 0.667 0.740
Hg2 0.667 0.333 0.260
```

---

[3]
Li2PrCdHg4 | PBE | optimized geometry

Values from the calculation:
space group: R-3m (166)
ρ: 9.6 g/cm3
energy of formation: -325 meV/atom

The structure in CIF format:
```
data_Li2PrCdHg4
_chemical_formula_sum 'Li2 Pr1 Cd1 Hg4'
_space_group_name_H-M_alt 'P 1'
_space_group_IT_number 1
_space_group_name_Hall 'P 1'
_cell_length_a 9.748
_cell_length_b 9.748
_cell_length_c 9.748
_cell_angle_alpha 28.36
_cell_angle_beta 28.36
_cell_angle_gamma 28.36
loop_
_atom_site_label
_atom_site_fract_x
_atom_site_fract_y
_atom_site_fract_z
Li1 0.232 0.232 0.232
Li2 0.768 0.768 0.768
Pr1 0.000 0.000 0.000
Cd1 0.500 0.500 0.500
Hg1 0.120 0.120 0.120
Hg2 0.391 0.391 0.391
Hg3 0.609 0.609 0.609
Hg4 0.880 0.880 0.880
```

---

[4]
LiPrCdHg2 | PBE | optimized geometry

Values from the calculation:
space group: Pmma (51)
ρ: 9.2 g/cm3
energy of formation: -307 meV/atom

The structure in CIF format:
```
data_LiPrCdHg2
_chemical_formula_sum 'Li2 Pr2 Cd2 Hg4'
_space_group_name_H-M_alt 'P 1'
_space_group_IT_number 1
_space_group_name_Hall 'P 1'
_cell_length_a 5.534
_cell_length_b 6.816
_cell_length_c 6.354
_cell_angle_alpha 90.00
_cell_angle_beta 90.00
_cell_angle_gamma 90.00
loop_
_atom_site_label
_atom_site_fract_x
_atom_site_fract_y
_atom_site_fract_z
Li1 0.000 0.000 0.000
Li2 0.500 0.000 0.000
Pr1 0.250 0.500 0.221
Pr2 0.750 0.500 0.779
Cd1 0.250 0.000 0.372
Cd2 0.750 0.000 0.628
Hg1 0.250 0.266 0.739
Hg2 0.250 0.734 0.739
Hg3 0.750 0.266 0.261
Hg4 0.750 0.734 0.261
```

---

[5]
Li2PrCd2Hg2 | PBE | optimized geometry

Values from the calculation:
space group: R-3m (166)
ρ: 8.2 g/cm3
energy of formation: -279 meV/atom

The structure in CIF format:
```
data_Li2PrCd2Hg2
_chemical_formula_sum 'Li2 Pr1 Cd2 Hg2'
_space_group_name_H-M_alt 'P 1'
_space_group_IT_number 1
_space_group_name_Hall 'P 1'
_cell_length_a 7.980
_cell_length_b 7.980
_cell_length_c 7.980
_cell_angle_alpha 36.08
_cell_angle_beta 36.08
_cell_angle_gamma 36.08
loop_
_atom_site_label
_atom_site_fract_x
_atom_site_fract_y
_atom_site_fract_z
Li1 0.144 0.144 0.144
Li2 0.856 0.856 0.856
Pr1 0.000 0.000 0.000
Cd1 0.266 0.266 0.266
Cd2 0.734 0.734 0.734
Hg1 0.426 0.426 0.426
Hg2 0.574 0.574 0.574
```

---

[6]
LiCd2HgPt | PBE | optimized geometry

Values from the calculation:
space group: P4/mmm (123)
ρ: 7.9 g/cm3
energy of formation: -91 meV/atom

The structure in CIF format:
```
data_LiCd2HgPt
_chemical_formula_sum 'Li1 Cd2 Hg1 Pt1'
_space_group_name_H-M_alt 'P 1'
_space_group_IT_number 1
_space_group_name_Hall 'P 1'
_cell_length_a 5.256
_cell_length_b 5.256
_cell_length_c 4.802
_cell_angle_alpha 90.00
_cell_angle_beta 90.00
_cell_angle_gamma 90.00
loop_
_atom_site_label
_atom_site_fract_x
_atom_site_fract_y
_atom_site_fract_z
Li1 0.000 0.000 0.000
Cd1 0.000 0.500 0.500
Cd2 0.500 0.000 0.500
Hg1 0.500 0.500 0.000
Pt1 0.000 0.000 0.500
```

---

> Among the records above, which one has the lowest energy of formation?

Li2PmCdHg2